Below is a relaxed BaZrMn2 crystal, with properties calculated at the PBE level.

```
BaZrMn2
1.0
-6.1988 5.1348 -5.0216
-7.8062 2.0625 -4.9818
-8.1658 4.2421 -2.3090
Ba Mn Zr
1 2 1
Direct
0.7500 0.7500 0.7500
0.9857 0.9857 0.9857
0.5143 0.5143 0.5143
0.2500 0.2500 0.2500
```

Computed properties:
- relative energy among the computed polymorphs (meV/atom) = 346
- N(E_F) (states/eV/f.u.) = 5.70
- E (Ry per atom) = -0.4761
- energy of formation from the pure elements (eV/atom) = 0.72
- density (kg/m3) = 5819

---

Below is a relaxed BaZr3Mn crystal, with properties calculated at the PBE level.

```
BaZr3Mn
1.0
-1.1988 -2.4582 4.5098
5.0571 0.2450 1.4778
-0.8983 4.6600 2.3013
Mn Ba Zr
1 1 3
Direct
0.5000 0.5000 0.5000
0.0000 0.0000 0.0000
0.0000 0.5000 0.0000
0.0000 0.0000 0.5000
0.5000 0.0000 0.0000
```

Computed properties:
- relative energy among the computed polymorphs (meV/atom) = 1526
- N(E_F) (states/eV/f.u.) = 5.75
- E (Ry per atom) = -0.3971
- energy of formation from the pure elements (eV/atom) = 1.94
- density (kg/m3) = 5273

---

Below is a relaxed BaZrMn2 crystal, with properties calculated at the PBE level.

```
BaZrMn2
1.0
0.0000 3.6256 3.6256
3.6256 0.0000 3.6256
3.6256 3.6256 0.0000
Mn Ba Zr
2 1 1
Direct
0.2500 0.2500 0.2500
0.7500 0.7500 0.7500
0.5000 0.5000 0.5000
0.0000 0.0000 0.0000
```

Computed properties:
- relative energy among the computed polymorphs (meV/atom) = 338
- N(E_F) (states/eV/f.u.) = 3.08
- E (Ry per atom) = -0.4768
- energy of formation from the pure elements (eV/atom) = 0.72
- density (kg/m3) = 5896

---

Below is a relaxed BaZr2Mn crystal, with properties calculated at the PBE level.

```
BaZr2Mn
1.0
-1.5367 -8.1301 -0.0919
3.6668 -7.2895 -1.3735
-1.0961 7.4490 3.4322
Ba Mn Zr
1 1 2
Direct
0.4270 0.4270 0.0000
0.2290 0.7290 0.5000
0.1057 0.1057 0.0000
0.7382 0.2382 0.5000
```

Computed properties:
- relative energy among the computed polymorphs (meV/atom) = 201
- N(E_F) (states/eV/f.u.) = 4.96
- E (Ry per atom) = -0.4814
- energy of formation from the pure elements (eV/atom) = 0.50
- density (kg/m3) = 5604

---

Below is a relaxed BaZrMn crystal, with properties calculated at the PBE level.

```
BaZrMn
1.0
-5.9552 -3.0706 -1.7589
-3.4074 -4.7778 -3.6808
-0.2684 -2.8678 2.1916
Ba Mn Zr
1 1 1
Direct
0.9906 0.9906 0.0094
0.2916 0.2916 0.7084
0.7178 0.7178 0.2822
```

Computed properties:
- relative energy among the computed polymorphs (meV/atom) = 0
- N(E_F) (states/eV/f.u.) = 2.92
- E (Ry per atom) = -0.4460
- energy of formation from the pure elements (eV/atom) = 0.48
- density (kg/m3) = 5583

---

Below is a relaxed BaZr2Mn crystal, with properties calculated at the PBE level.

```
BaZr2Mn
1.0
3.2532 0.0000 0.0000
0.0000 3.2533 -0.0062
0.0000 3.2691 9.5297
Ba Mn Zr
1 1 2
Direct
0.5000 0.2500 0.2500
0.5000 0.7500 0.7500
0.0000 0.0934 0.9080
0.0000 0.4066 0.5920
```

Computed properties:
- relative energy among the computed polymorphs (meV/atom) = 1
- N(E_F) (states/eV/f.u.) = 4.74
- E (Ry per atom) = -0.4960
- energy of formation from the pure elements (eV/atom) = 0.30
- density (kg/m3) = 6165